(1)
First-principles (SCAN) data for a crystal of NbTl3As relaxed with PBEsol, as listed in Alexandria.

VASP energy, eV per atom: -53.146
Space-group type: Pm-3m

a = 5.394 Å, b = 5.394 Å, c = 5.394 Å
α = 90.00°, β = 90.00°, γ = 90.00°
Fractional coordinates of all 5 atoms:
Tl 0.000 0.500 0.000
Tl 0.500 0.000 0.000
As 0.500 0.500 0.500
Nb 0.000 0.000 0.000
Tl 0.000 0.000 0.500



(2)
First-principles (SCAN) data for a crystal of YNbAs2 relaxed with PBEsol, as listed in Alexandria.

VASP energy, eV per atom: -25.798
Space-group type: I-42d

a = 6.017 Å, b = 6.017 Å, c = 7.446 Å
α = 113.83°, β = 113.83°, γ = 90.00°
Site moments in Bohr magnetons follow the coordinates.
Fractional coordinates of all 8 atoms:
Nb 0.000 0.000 0.000  1.21
Y 0.500 0.500 0.000  0.14
As 0.335 0.875 0.250  -0.06
Nb 0.250 0.750 0.500  1.21
As 0.125 0.085 0.750  -0.06
Y 0.750 0.250 0.500  0.14
As 0.625 0.665 0.750  -0.06
As 0.915 0.375 0.250  -0.06



(3)
First-principles (SCAN) data for a crystal of Nb2ZnAs relaxed with PBEsol, as listed in Alexandria.

VASP energy, eV per atom: -25.054
Space-group type: Fm-3m

a = 4.479 Å, b = 4.479 Å, c = 4.479 Å
α = 60.00°, β = 60.00°, γ = 60.00°
Fractional coordinates of all 4 atoms:
As 0.500 0.500 0.500
Zn 0.000 0.000 0.000
Nb 0.750 0.750 0.750
Nb 0.250 0.250 0.250



(4)
First-principles (SCAN) data for a crystal of NdAs3 relaxed with PBEsol, as listed in Alexandria.

VASP energy, eV per atom: -26.619
Space-group type: I4/mmm

a = 4.122 Å, b = 4.122 Å, c = 5.755 Å
α = 110.99°, β = 110.99°, γ = 90.00°
Fractional coordinates of all 4 atoms:
As 0.750 0.250 0.500
Nd 0.000 0.000 0.000
As 0.250 0.750 0.500
As 0.500 0.500 0.000



(5)
First-principles (SCAN) data for a crystal of NdAsO4 relaxed with PBEsol, as listed in Alexandria.

Polymorph energy (0 for the lowest one), meV/atom: 0
VASP energy, eV per atom: -17.378
Space-group type: I4_1/a

a = 5.115 Å, b = 5.115 Å, c = 6.813 Å
α = 112.05°, β = 112.05°, γ = 90.00°
Fractional coordinates of all 12 atoms:
O 0.331 0.719 0.158
O 0.561 0.669 0.842
O 0.969 0.577 0.658
O 0.281 0.173 0.842
O 0.423 0.311 0.342
Nd 0.250 0.750 0.500
O 0.827 0.439 0.158
As 0.750 0.250 0.500
O 0.919 0.031 0.342
O 0.689 0.081 0.658
Nd 0.000 0.000 0.000
As 0.500 0.500 0.000



(6)
First-principles (SCAN) data for a crystal of NdAsO4 relaxed with PBEsol, as listed in Alexandria.

Polymorph energy (0 for the lowest one), meV/atom: 13
VASP energy, eV per atom: -17.365
Space-group type: P2_1/c

a = 6.677 Å, b = 6.912 Å, c = 7.103 Å
α = 90.00°, β = 90.00°, γ = 105.08°
Fractional coordinates of all 24 atoms:
As 0.113 0.802 0.162
Nd 0.096 0.281 0.349
O 0.666 0.017 0.892
As 0.613 0.302 0.338
Nd 0.904 0.719 0.651
O 0.423 0.254 0.506
O 0.166 0.517 0.608
O 0.834 0.483 0.392
O 0.496 0.394 0.155
O 0.923 0.754 0.994
As 0.887 0.198 0.838
O 0.775 0.386 0.787
O 0.504 0.606 0.845
O 0.004 0.106 0.655
O 0.996 0.894 0.345
O 0.077 0.246 0.006
Nd 0.404 0.219 0.849
O 0.577 0.746 0.494
O 0.725 0.114 0.287
O 0.225 0.614 0.213
O 0.334 0.983 0.108
Nd 0.596 0.781 0.151
As 0.387 0.698 0.662
O 0.275 0.886 0.713



(7)
First-principles (SCAN) data for a crystal of Nd2As4O9 relaxed with PBEsol, as listed in Alexandria.

VASP energy, eV per atom: -17.169
Space-group type: P-1

a = 6.860 Å, b = 7.642 Å, c = 9.500 Å
α = 96.52°, β = 103.48°, γ = 104.72°
Fractional coordinates of all 30 atoms:
Nd 0.251 0.056 0.879
O 0.764 0.250 0.257
O 0.003 0.225 0.821
As 0.250 0.922 0.218
O 0.624 0.660 0.240
O 0.593 0.667 0.949
As 0.328 0.241 0.575
As 0.310 0.354 0.211
O 0.376 0.340 0.760
Nd 0.223 0.532 0.907
O 0.343 0.869 0.062
O 0.997 0.775 0.179
As 0.750 0.078 0.782
As 0.825 0.231 0.444
As 0.175 0.769 0.556
As 0.672 0.759 0.425
O 0.188 0.015 0.610
O 0.865 0.896 0.854
Nd 0.777 0.468 0.093
O 0.812 0.985 0.390
O 0.236 0.750 0.743
O 0.657 0.131 0.938
O 0.135 0.104 0.146
As 0.690 0.646 0.789
O 0.874 0.540 0.869
O 0.126 0.460 0.131
O 0.407 0.333 0.051
O 0.891 0.680 0.515
Nd 0.749 0.944 0.121
O 0.109 0.320 0.485



(8)
First-principles (SCAN) data for a crystal of NdAsO4 relaxed with PBEsol, as listed in Alexandria.

Polymorph energy (0 for the lowest one), meV/atom: 7
VASP energy, eV per atom: -17.371
Space-group type: I4_1/amd

a = 6.075 Å, b = 6.075 Å, c = 6.075 Å
α = 106.38°, β = 106.38°, γ = 115.86°
Fractional coordinates of all 12 atoms:
O 0.921 0.242 0.320
O 0.758 0.079 0.680
O 0.492 0.671 0.820
O 0.329 0.149 0.820
O 0.399 0.079 0.320
O 0.921 0.601 0.680
As 0.750 0.250 0.500
O 0.851 0.671 0.180
Nd 0.250 0.750 0.500
O 0.329 0.508 0.180
Nd 0.000 0.000 0.000
As 0.500 0.500 0.000



(9)
First-principles (SCAN) data for a crystal of NdAs12Os4 relaxed with PBEsol, as listed in Alexandria.

VASP energy, eV per atom: -34.182
Space-group type: Im-3

a = 7.388 Å, b = 7.388 Å, c = 7.388 Å
α = 109.47°, β = 109.47°, γ = 109.47°
Fractional coordinates of all 17 atoms:
As 0.850 0.348 0.199
As 0.498 0.150 0.348
Os 0.000 0.000 0.500
As 0.850 0.652 0.502
As 0.502 0.850 0.652
As 0.652 0.502 0.850
As 0.150 0.348 0.498
Os 0.500 0.000 0.000
As 0.801 0.150 0.652
Os 0.500 0.500 0.500
Os 0.000 0.500 0.000
As 0.348 0.498 0.150
As 0.652 0.801 0.150
As 0.348 0.199 0.850
As 0.150 0.652 0.801
As 0.199 0.850 0.348
Nd 0.000 0.000 0.000



(10)
First-principles (SCAN) data for a crystal of Rb8NdAs4S16 relaxed with PBEsol, as listed in Alexandria.

VASP energy, eV per atom: -16.283
Space-group type: I222

a = 8.996 Å, b = 10.216 Å, c = 11.462 Å
α = 116.46°, β = 113.10°, γ = 90.00°
Site moments in Bohr magnetons follow the coordinates.
Fractional coordinates of all 29 atoms:
S 0.856 0.183 0.785  0.00
S 0.929 0.602 0.785  0.00
S 0.772 0.492 0.129  0.00
S 0.212 0.002 0.847  0.13
Rb 0.295 0.668 0.828  0.00
Rb 0.796 0.796 0.592  0.00
Rb 0.533 0.161 0.828  0.00
S 0.228 0.364 0.871  0.00
S 0.366 0.998 0.153  0.13
As 0.675 0.617 0.754  0.00
S 0.027 0.020 0.527  0.05
Rb 0.467 0.332 0.172  0.00
Rb 0.705 0.839 0.172  0.00
S 0.071 0.817 0.215  0.00
S 0.643 0.508 0.871  0.00
As 0.921 0.383 0.246  0.00
S 0.500 0.507 0.527  0.05
Rb 0.204 0.204 0.408  0.00
S 0.357 0.636 0.129  0.00
S 0.500 0.980 0.473  0.05
As 0.325 0.862 0.246  0.00
S 0.144 0.398 0.215  0.00
S 0.634 0.844 0.847  0.13
As 0.079 0.138 0.754  0.00
Rb 0.752 0.252 0.503  0.00
Nd 0.000 0.500 0.000  0.00
Rb 0.248 0.748 0.497  0.00
S 0.788 0.156 0.153  0.13
S 0.973 0.493 0.473  0.05



(11)
First-principles (SCAN) data for a crystal of NdAsS relaxed with PBEsol, as listed in Alexandria.

VASP energy, eV per atom: -26.177
Space-group type: Pnma

a = 3.830 Å, b = 7.147 Å, c = 9.636 Å
α = 90.00°, β = 90.00°, γ = 90.00°
Fractional coordinates of all 12 atoms:
S 0.750 0.903 0.660
Nd 0.750 0.301 0.157
As 0.750 0.401 0.458
S 0.250 0.597 0.160
Nd 0.250 0.199 0.657
Nd 0.750 0.801 0.343
As 0.750 0.901 0.042
Nd 0.250 0.699 0.843
As 0.250 0.599 0.542
S 0.250 0.097 0.340
S 0.750 0.403 0.840
As 0.250 0.099 0.958



(12)
First-principles (SCAN) data for a crystal of Ni3As relaxed with PBEsol, as listed in Alexandria.

VASP energy, eV per atom: -17.332
Space-group type: P6_3/mmc

a = 4.978 Å, b = 4.978 Å, c = 12.399 Å
α = 90.00°, β = 90.00°, γ = 120.00°
Fractional coordinates of all 24 atoms:
Ni 0.334 0.167 0.082
Ni 0.666 0.833 0.918
Ni 0.833 0.167 0.082
Ni 0.833 0.666 0.418
Ni 0.334 0.167 0.418
Ni 0.498 0.502 0.750
As 0.333 0.667 0.410
As 0.333 0.667 0.090
As 0.667 0.333 0.590
Ni 0.004 0.502 0.750
Ni 0.167 0.833 0.918
Ni 0.498 0.996 0.750
Ni 0.666 0.833 0.582
As 0.000 0.000 0.250
As 0.667 0.333 0.910
Ni 0.502 0.498 0.250
Ni 0.833 0.666 0.082
Ni 0.167 0.334 0.582
Ni 0.502 0.004 0.250
As 0.000 0.000 0.750
Ni 0.996 0.498 0.250
Ni 0.167 0.833 0.582
Ni 0.167 0.334 0.918
Ni 0.833 0.167 0.418